Material: InH2Rh2
Method: DFT, GGA-PBEsol
State: optimized geometry

Cell lengths 3.1198, 3.1198, 10.6636 Å; angles 90.00, 90.00, 90.00 degrees
Closest atoms and distances in Å follow each position.
Space group I4/mmm (No. 139)
Asymmetric unit:
In (0.0000, 0.0000, 0.0000) (multiplicity 2)  8 Rh 2.74
H (0.0000, 0.5000, 0.2500) (multiplicity 4)  4 Rh 1.87
Rh (0.0000, 0.0000, 0.3475) (multiplicity 4)  4 H 1.87

* electronic total energy: -5.38 eV per atom


Material: As2HWBr
Method: DFT, GGA-PBEsol
State: optimized geometry

Cell lengths 3.9488, 3.9488, 4.8751 Å; angles 90.00, 90.00, 90.00 degrees
Closest atoms and distances in Å follow each position.
Space group P4/mmm (No. 123)
Asymmetric unit:
As (0.0000, 0.5000, 0.0000) (multiplicity 2)  2 H 1.97
H (0.0000, 0.0000, 0.0000) (multiplicity 1)  4 As 1.97
W (0.5000, 0.5000, 0.5000) (multiplicity 1)  4 Br 2.79
Br (0.0000, 0.0000, 0.5000) (multiplicity 1)  2 H 2.44

* electronic total energy: -4.82 eV per atom


Material: Ta2CrOs
Method: DFT, GGA-PBEsol
State: optimized geometry

Cell lengths 2.7853, 4.2545, 5.1778 Å; angles 90.00, 99.87, 90.00 degrees
Closest atoms and distances in Å follow each position.
Space group P2/m (No. 10)
Asymmetric unit:
Ta (0.2381, 0.0000, 0.2547) (multiplicity 2)  2 Cr 2.62, 2 Os 2.67, 4 Ta 2.70-2.79
Cr (0.0000, 0.5000, 0.5000) (multiplicity 1)  4 Ta 2.62, 2 Os 2.72, 2 Cr 2.79
Os (0.5000, 0.5000, 0.0000) (multiplicity 1)  4 Ta 2.67, 2 Cr 2.72, 2 Os 2.79

* E_form: -4 kJ per mole of atoms
* energy above the most stable polymorph in this dataset: 254 meV per atom